Entry from the Alexandria database: an optimized crystal structure of IrPd2Au (PBE-GGA).

```
IrPd2Au
1.0
2.818 0.000 0.000
0.000 2.818 0.000
0.000 0.000 7.932
Ir Pd Au
1 2 1
Direct
0.000 0.000 0.000 Ir
0.500 0.500 0.236 Pd
0.500 0.500 0.764 Pd
0.000 0.000 0.500 Au
```

Uncorrected energy   -22.20 eV per formula unit
Total magnetization   0.00 μB/f.u.
E_form   0.08 eV per atom